1.
## Cr5W3 (GGA-PBE)

Data for an optimized crystal structure of Cr5W3.

a b c (Å): 7.292 7.292 4.890
angles (deg): 90.00 90.00 120.00
Element x y z (fractional)
Cr 0.000 0.223 0.250
Cr 0.000 0.777 0.750
Cr 0.223 0.000 0.250
Cr 0.223 0.223 0.750
Cr 0.333 0.667 0.000
Cr 0.333 0.667 0.500
Cr 0.667 0.333 0.000
Cr 0.667 0.333 0.500
Cr 0.777 0.000 0.750
Cr 0.777 0.777 0.250
W 0.000 0.393 0.750
W 0.000 0.607 0.250
W 0.393 0.000 0.750
W 0.393 0.393 0.250
W 0.607 0.000 0.250
W 0.607 0.607 0.750

Summary:
- Formation enthalpy at 0 K: 48 kJ per mole of atoms
- Crystal system: hexagonal
- Space group: P6_3/mcm
- Total DFT energy (no corrections): -10.37 eV per atom
- Energy above the most stable polymorph in this dataset: 416 meV per atom



2.
## Be2SiBr (GGA-PBE)

Data for an optimized crystal structure of Be2SiBr.

a b c (Å): 4.448 4.448 4.448
angles (deg): 60.00 60.00 60.00
Element x y z (fractional)
Be 0.000 0.000 0.000
Be 0.250 0.250 0.250
Si 0.500 0.500 0.500
Br 0.750 0.750 0.750

Summary:
- Formation energy from raw total energies: 114 kJ per mole of atoms
- Crystal system: cubic
- Space group: F-43m
- Total DFT energy (no corrections): -2.46 eV per atom
- Energy above the most stable polymorph in this dataset: 888 meV per atom



3.
## Al2HgPb2 (GGA-PBE)

Data for an optimized crystal structure of Al2HgPb2.

a b c (Å): 9.300 9.300 9.300
angles (deg): 155.58 155.58 34.81
Element x y z (fractional)
Al 0.250 0.750 0.500
Al 0.750 0.250 0.500
Hg 0.000 0.000 0.000
Pb 0.379 0.379 0.000
Pb 0.621 0.621 0.000

Summary:
- Formation enthalpy at 0 K: 13 kJ per mole of atoms
- Crystal system: tetragonal
- Space group: I4/mmm
- Total DFT energy (no corrections): -2.91 eV per atom
- Energy above the most stable polymorph in this dataset: 0 meV per atom



4.
## Cs3InH4 (GGA-PBE)

Data for an optimized crystal structure of Cs3InH4.

a b c (Å): 7.001 7.001 7.001
angles (deg): 127.63 79.05 125.40
Element x y z (fractional)
Cs 0.000 0.000 0.000
Cs 0.246 0.485 0.761
Cs 0.724 0.485 0.239
In 0.429 0.929 0.500
H 0.269 0.987 0.281
H 0.625 0.356 0.731
H 0.625 0.893 0.269
H 0.706 0.987 0.719

Summary:
- Crystal system: orthorhombic
- Space group: Imm2
- Total DFT energy (no corrections): -2.45 eV per atom
- Energy above the most stable polymorph in this dataset: 9 meV per atom



5.
## LiAgP2 (GGA-PBE)

Data for an optimized crystal structure of LiAgP2.

a b c (Å): 4.867 4.867 4.867
angles (deg): 132.49 131.57 70.19
Element x y z (fractional)
Li 0.000 0.000 0.000
Ag 0.500 0.500 0.000
P 0.250 0.750 0.500
P 0.750 0.250 0.500

Summary:
- Formation enthalpy at 0 K: 9 kJ per mole of atoms
- Crystal system: orthorhombic
- Space group: Immm
- Total DFT energy (no corrections): -3.80 eV per atom
- Energy above the most stable polymorph in this dataset: 235 meV per atom



6.
## CaMoCl2 (GGA-PBE)

Data for an optimized crystal structure of CaMoCl2.

a b c (Å): 5.433 5.433 3.679
angles (deg): 108.78 108.78 103.21
Element x y z (fractional)
Ca 0.000 0.000 0.000
Mo 0.500 0.500 0.000
Cl 0.000 0.500 0.000
Cl 0.500 0.000 0.000

Summary:
- Formation energy from raw total energies: -29 kJ per mole of atoms
- Crystal system: monoclinic
- Space group: C2/m
- Total DFT energy (no corrections): -4.43 eV per atom
- Energy above the most stable polymorph in this dataset: 252 meV per atom